La3Nd (GGA-PBE, optimized geometry); electronic total energy = -19.5 eV per cell; Fermi-level density of states = 7.9 states/eV/f.u.; formation enthalpy at 0 K = 0.010 eV per atom
1.0
3.712 0.000 0.000
0.000 6.205 -1.736
0.000 -0.452 6.427
La Nd
3 1
direct
0.000 0.500 0.500
0.500 0.000 0.500
0.500 0.500 0.000
0.000 0.000 0.000